A geometry-optimized Cr2TcF structure. Source: Alexandria, functional PBE+U.

Lattice parameters (Å, degrees): 5.512 5.512 5.512 108.57 108.57 111.28
Sites, in units of the cell vectors:
Cr1 0.079 0.125 0.454
Cr2 0.375 0.921 0.046
Cr3 0.671 0.625 0.546
Cr4 0.875 0.329 0.954
Tc1 0.250 0.750 0.500
Tc2 0.500 0.500 0.000
F1 0.000 0.000 0.000
F2 0.750 0.250 0.500

## Properties
crystal system: tetragonal
total magnetization: 5.98 μB per formula unit
uncorrected energy: -53.4 eV per cell
volume: 16.106 Å³ per atom
space group: I-42d (122)